# 1
Material: AcYGePd
Method: DFT, PBE
State: relaxed

Computed properties:
**Crystal system**: cubic
**Formation energy**: -682 meV/atom

abc: 7.439 7.439 7.439
angles: 90.00 90.00 90.00
Space group F-43m (No. 216)
One atom of each set of equivalent atoms:
Ac  0.000  0.000  0.000
Y  0.000  0.000  0.500
Ge  0.250  0.250  0.250
Pd  0.250  0.250  0.750

***

# 2
Material: Re4TeAs
Method: DFT, PBE
State: relaxed

Computed properties:
**Crystal system**: cubic
**Uncorrected formation energy**: 0.96 eV per atom

abc: 7.536 7.536 7.536
angles: 90.00 90.00 90.00
Space group F-43m (No. 216)
One atom of each set of equivalent atoms:
Re  0.125  0.125  0.125
Te  0.250  0.250  0.750
As  0.000  0.000  0.500

***

# 3
Material: AlInTe2
Method: DFT, PBE
State: relaxed

Computed properties:
**Crystal system**: tetragonal
**Uncorrected formation energy**: 0.07 eV per atom

abc: 3.416 3.416 9.827
angles: 90.00 90.00 90.00
Space group P4mm (No. 99)
One atom of each set of equivalent atoms:
Al  0.000  0.000  0.000
In  0.500  0.500  0.217
Te  0.000  0.000  0.457
Te  0.500  0.500  0.836

***

# 4
Material: DyTm5Tl8
Method: DFT, PBE
State: relaxed

Computed properties:
**Crystal system**: tetragonal
**Formation energy**: -188 meV/atom

abc: 9.147 9.147 9.321
angles: 90.00 90.00 90.00
Space group I-4 (No. 82)
One atom of each set of equivalent atoms:
Dy  0.000  0.000  0.000
Tm  0.000  0.500  0.250
Tm  0.127  0.275  0.641
Tl  0.072  0.163  0.311
Tl  0.097  0.329  0.968

***

# 5
Material: K2Al2Cl
Method: DFT, PBE
State: relaxed

Computed properties:
**Crystal system**: tetragonal
**Offset from the most stable computed form**: 0.493 eV/atom
**Uncorrected formation energy**: -0.09 eV per atom

abc: 7.995 7.995 6.240
angles: 90.00 90.00 90.00
Space group P4/mbm (No. 127)
One atom of each set of equivalent atoms:
K  0.180  0.320  0.000
Al  0.115  0.615  0.500
Cl  0.000  0.000  0.000

***

# 6
Material: CoReTc2
Method: DFT, PBE
State: relaxed

Computed properties:
**Crystal system**: cubic
**Offset from the most stable computed form**: 0.185 eV/atom
**Formation energy**: 213 meV/atom

abc: 6.075 6.075 6.075
angles: 90.00 90.00 90.00
Space group Fm-3m (No. 225)
One atom of each set of equivalent atoms:
Co  0.000  0.000  0.000
Re  0.000  0.000  0.500
Tc  0.250  0.250  0.250

***

# 7
Material: Zr2Tl2CuSe6
Method: DFT, PBE
State: relaxed

Computed properties:
**Crystal system**: monoclinic
**Uncorrected formation energy**: -0.81 eV per atom

abc: 6.641 11.756 8.135
angles: 90.00 106.56 90.00
Space group C2/m (No. 12)
One atom of each set of equivalent atoms:
Zr  0.000  0.170  0.000
Tl  0.000  0.334  0.500
Cu  0.000  0.500  0.000
Se  0.241  0.332  0.202
Se  0.247  0.500  0.820

***

# 8
Material: Zr2ScZnRh4
Method: DFT, PBE
State: relaxed

Computed properties:
**Crystal system**: trigonal
**Formation energy**: -827 meV/atom

abc: 4.5501 4.5501 22.2942
angles: 90.00 90.00 120.00
Space group R-3m (No. 166, hexagonal axes)
One atom of each set of equivalent atoms:
Zr  0.0000  0.0000  0.2448
Sc  0.0000  0.0000  0.0000
Zn  0.0000  0.0000  0.5000
Rh  0.0000  0.0000  0.1224
Rh  0.0000  0.0000  0.3739

***

# 9
Material: Ac4La2Dy5
Method: DFT, PBE
State: relaxed

Computed properties:
**Crystal system**: monoclinic
**Formation energy**: 236 meV/atom

abc: 25.044 3.585 9.273
angles: 90.00 93.51 90.00
Space group C2/m (No. 12)
One atom of each set of equivalent atoms:
Ac  0.087  0.000  0.230
Ac  0.220  0.500  0.323
La  0.051  0.000  0.841
Dy  0.000  0.500  0.500
Dy  0.135  0.000  0.592
Dy  0.188  0.000  0.967

***

# 10
Material: Y3Zr
Method: DFT, PBE
State: relaxed

Computed properties:
**Crystal system**: trigonal
**Offset from the most stable computed form**: 0.155 eV/atom
**Formation energy**: 226 meV/atom

abc: 11.0763 11.0763 3.3725
angles: 90.00 90.00 120.00
Space group R-3m (No. 166, hexagonal axes)
One atom of each set of equivalent atoms:
Y  0.0000  0.5000  0.0000
Zr  0.0000  0.0000  0.0000

***

# 11
Material: Sb2MoSe
Method: DFT, PBE
State: relaxed

Computed properties:
**Crystal system**: orthorhombic
**Uncorrected formation energy**: 0.52 eV per atom

abc: 6.232 8.059 3.365
angles: 90.00 90.00 90.00
Space group Cmmm (No. 65)
One atom of each set of equivalent atoms:
Sb  0.250  0.250  0.000
Mo  0.000  0.000  0.500
Se  0.000  0.500  0.500

***

# 12
Material: Ca2ZnNi2
Method: DFT, PBE
State: relaxed

Computed properties:
**Crystal system**: monoclinic
**Formation energy**: -245 meV/atom

abc: 9.407 5.542 7.691
angles: 90.00 102.96 90.00
Space group C2/c (No. 15)
One atom of each set of equivalent atoms:
Ca  0.148  0.139  0.148
Zn  0.000  0.385  0.750
Ni  0.137  0.360  0.505

***

Total moment list, top to bottom, in μB per formula unit: 0.00 0.00 0.00 0.00 0.55 1.66 0.00 0.00 0.00 1.86 1.23 0.00
DOS at the Fermi energy list, top to bottom, in states/eV/f.u.: 2.12 6.62 1.99 9.99 3.17 4.67 7.47 4.71 20.61 8.79 3.76 2.42